(one)
KCa2Eu after structural relaxation, computed with GGA-PBE.

Cell: 3.9419 3.9419 12.3556 Å, 90.00 90.00 90.00°
Closest atoms and distances in Å follow each position.
Space group P4/mmm (No. 123)
Symmetry-distinct sites (fractional):
K 0.0000 0.0000 0.0000 (multiplicity 1)  4 K 3.94, 8 Ca 4.39
Ca 0.5000 0.5000 0.2746 (multiplicity 2)  4 Eu 3.94, 4 Ca 3.94, 4 K 4.39
Eu 0.0000 0.0000 0.5000 (multiplicity 1)  8 Ca 3.94, 4 Eu 3.94

The calculation puts the total magnetization at 7.5 μB per formula unit.

---

(two)
KCa2Eu after structural relaxation, computed with GGA-PBE.

Cell: 6.7108 6.7108 4.2129 Å, 90.00 90.00 90.00°
Closest atoms and distances in Å follow each position.
Space group P4/mmm (No. 123)
Symmetry-distinct sites (fractional):
K 0.0000 0.0000 0.0000 (multiplicity 1)  8 Ca 3.96, 2 K 4.21
Ca 0.0000 0.5000 0.5000 (multiplicity 2)  4 K 3.96, 4 Eu 3.96, 2 Ca 4.21
Eu 0.5000 0.5000 0.0000 (multiplicity 1)  8 Ca 3.96, 2 Eu 4.21

The calculation puts the total magnetization at 7.8 μB per formula unit.

---

Most favorable structure: (one). The second most favorable one is 63 meV per atom above it.

---

(one)
KCaEu after structural relaxation, computed with GGA-PBE.

Cell: 3.9594 3.9594 19.3712 Å, 90.00 90.00 90.00°
Closest atoms and distances in Å follow each position.
Space group I4mm (No. 107)
Symmetry-distinct sites (fractional):
K 0.0000 0.0000 0.0000 (multiplicity 2)  4 K 3.96, 4 Ca 4.40
Ca 0.0000 0.0000 0.3250 (multiplicity 2)  4 Eu 3.95, 4 Ca 3.96, 4 K 4.40
Eu 0.0000 0.0000 0.6811 (multiplicity 2)  4 Ca 3.95, 4 Eu 3.96

The calculation puts the total magnetization at 7.7 μB per formula unit.

---

(two)
KCaEu after structural relaxation, computed with GGA-PBE.

Cell: 4.0394 4.0394 10.5534 Å, 90.00 90.00 120.00°
Closest atoms and distances in Å follow each position.
Space group P3m1 (No. 156)
Symmetry-distinct sites (fractional):
K 0.0000 0.0000 0.0000 (multiplicity 1)  6 K 4.04, 3 Ca 4.34, 3 Eu 4.41
Ca 0.6667 0.3333 0.3469 (multiplicity 1)  3 Eu 3.91, 6 Ca 4.04, 3 K 4.34
Eu 0.3333 0.6667 0.6449 (multiplicity 1)  3 Ca 3.91, 6 Eu 4.04

The calculation puts the total magnetization at 7.4 μB per formula unit.

---

Most favorable structure: (two). The second most favorable one is 15 meV per atom above it.

---

(one)
LiCaEu2 after structural relaxation, computed with GGA-PBE.

Cell: 3.9226 3.9226 9.7913 Å, 90.00 90.00 90.00°
Closest atoms and distances in Å follow each position.
Space group P4/mmm (No. 123)
Symmetry-distinct sites (fractional):
Li 0.0000 0.0000 0.0000 (multiplicity 1)  8 Eu 3.46
Ca 0.0000 0.0000 0.5000 (multiplicity 1)  4 Ca 3.92, 8 Eu 3.96
Eu 0.5000 0.5000 0.2108 (multiplicity 2)  4 Li 3.46

The calculation puts the total magnetization at 15.1 μB per formula unit.

---

(two)
LiCaEu2 after structural relaxation, computed with GGA-PBE.

Cell: 5.9553 5.9553 4.3757 Å, 90.00 90.00 90.00°
Closest atoms and distances in Å follow each position.
Space group P4/mmm (No. 123)
Symmetry-distinct sites (fractional):
Li 0.0000 0.0000 0.0000 (multiplicity 1)  8 Eu 3.70
Ca 0.5000 0.5000 0.0000 (multiplicity 1)  8 Eu 3.70
Eu 0.0000 0.5000 0.5000 (multiplicity 2)  4 Ca 3.70, 4 Li 3.70

The calculation puts the total magnetization at 15.2 μB per formula unit.

---

Most favorable structure: (one). The second most favorable one is 45 meV per atom above it.

---

(one)
LiCa2Eu after structural relaxation, computed with GGA-PBE.

Cell: 4.0141 4.0141 9.2567 Å, 90.00 90.00 90.00°
Closest atoms and distances in Å follow each position.
Space group P4/mmm (No. 123)
Symmetry-distinct sites (fractional):
Li 0.0000 0.0000 0.0000 (multiplicity 1)  8 Ca 3.42
Ca 0.5000 0.5000 0.2070 (multiplicity 2)  4 Li 3.42, 1 Ca 3.83
Eu 0.0000 0.0000 0.5000 (multiplicity 1)  8 Ca 3.93, 4 Eu 4.01

The calculation puts the total magnetization at 7.3 μB per formula unit.

---

(two)
LiCa2Eu after structural relaxation, computed with GGA-PBE.

Cell: 5.3159 5.3159 5.3866 Å, 90.00 90.00 90.00°
Closest atoms and distances in Å follow each position.
Space group P4/mmm (No. 123)
Symmetry-distinct sites (fractional):
Li 0.0000 0.0000 0.0000 (multiplicity 1)  4 Eu 3.76, 8 Ca 3.78
Ca 0.0000 0.5000 0.5000 (multiplicity 2)  4 Ca 3.76, 4 Li 3.78, 4 Eu 3.78
Eu 0.5000 0.5000 0.0000 (multiplicity 1)  4 Li 3.76, 8 Ca 3.78

The calculation puts the total magnetization at 7.6 μB per formula unit.

---

Most favorable structure: (one). The second most favorable one is 56 meV per atom above it.

---

(one)
Li2CaEu after structural relaxation, computed with GGA-PBE.

Cell: 3.9982 3.9982 8.0148 Å, 90.00 90.00 90.00°
Closest atoms and distances in Å follow each position.
Space group P4/mmm (No. 123)
Symmetry-distinct sites (fractional):
Li 0.0000 0.0000 0.2399 (multiplicity 2)  4 Ca 3.42, 4 Eu 3.51
Ca 0.5000 0.5000 0.0000 (multiplicity 1)  8 Li 3.42
Eu 0.5000 0.5000 0.5000 (multiplicity 1)  8 Li 3.51

The calculation puts the total magnetization at 7.7 μB per formula unit.

---

(two)
Li2CaEu after structural relaxation, computed with GGA-PBE.

Cell: 8.0107 8.0107 8.0107 Å, 90.00 90.00 90.00°
Closest atoms and distances in Å follow each position.
Space group Fm-3m (No. 225)
Symmetry-distinct sites (fractional):
Li 0.2500 0.2500 0.2500 (multiplicity 8)  4 Ca 3.47, 4 Eu 3.47
Ca 0.0000 0.0000 0.0000 (multiplicity 4)  8 Li 3.47
Eu 0.0000 0.0000 0.5000 (multiplicity 4)  8 Li 3.47

The calculation puts the total magnetization at 7.7 μB per formula unit.

---

Most favorable structure: (one). The second most favorable one is 5 meV per atom above it.

---

(one)
Ca2EuLu after structural relaxation, computed with GGA-PBE.

Cell: 8.4238 8.4238 8.4238 Å, 90.00 90.00 90.00°
Closest atoms and distances in Å follow each position.
Space group Fm-3m (No. 225)
Symmetry-distinct sites (fractional):
Ca 0.2500 0.2500 0.2500 (multiplicity 8)  4 Eu 3.65, 4 Lu 3.65
Eu 0.0000 0.0000 0.0000 (multiplicity 4)  8 Ca 3.65
Lu 0.0000 0.0000 0.5000 (multiplicity 4)  8 Ca 3.65

The calculation puts the total magnetization at 7.8 μB per formula unit.

---

(two)
Ca2EuLu after structural relaxation, computed with GGA-PBE.

Cell: 3.9865 3.9865 9.5702 Å, 90.00 90.00 90.00°
Closest atoms and distances in Å follow each position.
Space group P4/mmm (No. 123)
Symmetry-distinct sites (fractional):
Ca 0.0000 0.0000 0.2264 (multiplicity 2)  4 Lu 3.56, 4 Eu 3.85
Eu 0.5000 0.5000 0.5000 (multiplicity 1)  8 Ca 3.85, 4 Eu 3.99
Lu 0.5000 0.5000 0.0000 (multiplicity 1)  8 Ca 3.56

The calculation puts the total magnetization at 7.4 μB per formula unit.

---

Most favorable structure: (two). The second most favorable one is 25 meV per atom above it.